A geometry-optimized GaTePt2 structure, computed with PBE-GGA.

```
GaTePt2
1.0
0.000 3.313 3.313
3.313 0.000 3.313
3.313 3.313 0.000
Te Ga Pt
1 1 2
Cartesian
3.313 3.313 3.313
0.000 0.000 0.000
1.656 1.656 1.656
4.969 4.969 4.969
```

For the energy above the most stable polymorph in this dataset, the calculation gives 161 meV/atom. The space group is Fm-3m. Its uncorrected formation energy is -51 meV per atom.

---

A geometry-optimized CeSm2PbC structure, computed with PBE-GGA.

```
CeSm2PbC
1.0
4.930 0.000 0.000
0.000 5.090 0.000
0.000 0.000 5.090
Ce Sm Pb C
1 2 1 1
Cartesian
2.465 0.000 0.000
0.000 0.000 2.545
0.000 2.545 0.000
2.465 2.545 2.545
0.000 0.000 0.000
```

The calculation puts the formation energy at -2.09 eV/f.u. The space group is P4/mmm.

---

A geometry-optimized Pr2NdTmSe4 structure, computed with PBE-GGA.

```
Pr2NdTmSe4
1.0
-2.326 3.403 -0.037
-3.217 -2.131 6.153
5.908 4.058 1.726
Pr Nd Tm Se
2 1 1 4
Cartesian
1.791 3.730 0.844
1.346 0.963 3.939
0.000 0.000 0.000
-2.771 0.636 3.058
-0.573 2.127 1.971
0.938 3.202 5.870
3.680 2.548 2.957
-0.988 -0.622 4.921
```

The space group is P2/m. Its uncorrected formation energy is -1794 meV per atom.

---

Number 1: ρ 13.4 g/cm³, total DFT energy (no corrections) -4.61 eV/atom. Number 2: ρ 8.6 g/cm³, total DFT energy (no corrections) -6.08 eV/atom. Number 3: ρ 7.2 g/cm³, total DFT energy (no corrections) -5.89 eV/atom.